! NdOsPb PBE optimized geometry; values from VASP
&SYSTEM
  ibrav = 0, nat = 3, ntyp = 3
/
ATOMIC_SPECIES
Nd 144.24 Nd.upf
Os 190.23 Os.upf
Pb 207.20 Pb.upf
CELL_PARAMETERS angstrom
2.6585 -3.3509 -2.2767
0.4509 -4.4355 1.8982
-2.1660 -3.7771 -2.1266
ATOMIC_POSITIONS crystal
Nd 0.2500 0.2500 0.2500
Os 0.7500 0.7500 0.7500
Pb 0.0000 0.0000 0.0000
! - Total DFT energy (no corrections): -17.5 eV/cell
! - Magnetic moment: 1.3 Bohr magnetons per cell



! NdOsPb PBE optimized geometry; values from VASP
&SYSTEM
  ibrav = 0, nat = 3, ntyp = 3
/
ATOMIC_SPECIES
Os 190.23 Os.upf
Pb 207.20 Pb.upf
Nd 144.24 Nd.upf
CELL_PARAMETERS angstrom
-0.7745 -4.2767 2.2990
-4.1858 -0.7398 2.4713
-3.3539 -3.1504 -1.7326
ATOMIC_POSITIONS crystal
Os 0.2500 0.2500 0.2500
Pb 0.7500 0.7500 0.7500
Nd 0.0000 0.0000 0.0000
! - Total DFT energy (no corrections): -16.8 eV/cell
! - Magnetic moment: 0.0 Bohr magnetons per cell



! NdSi2OsPd PBE optimized geometry; values from VASP
&SYSTEM
  ibrav = 0, nat = 5, ntyp = 4
/
ATOMIC_SPECIES
Pd 106.42 Pd.upf
Si 28.09 Si.upf
Nd 144.24 Nd.upf
Os 190.23 Os.upf
CELL_PARAMETERS angstrom
-2.0644 2.0644 5.1116
2.0644 -2.0644 5.1116
2.0644 2.0644 -5.1116
ATOMIC_POSITIONS crystal
Pd 0.2500 0.7500 0.5000
Si 0.6227 0.6227 0.0000
Si 0.3773 0.3773 0.0000
Nd 0.0000 0.0000 0.0000
Os 0.7500 0.2500 0.5000
! - Total DFT energy (no corrections): -36.0 eV/cell
! - Magnetic moment: 0.0 Bohr magnetons per cell



! Pm2NdOs PBE optimized geometry; values from VASP
&SYSTEM
  ibrav = 0, nat = 16, ntyp = 3
/
ATOMIC_SPECIES
Os 190.23 Os.upf
Pm 145.00 Pm.upf
Nd 144.24 Nd.upf
CELL_PARAMETERS angstrom
7.4812 0.0000 0.0000
0.0000 9.5313 0.0000
0.0000 0.0000 6.5103
ATOMIC_POSITIONS crystal
Os 0.6142 0.7500 0.5507
Os 0.3858 0.2500 0.4493
Os 0.8858 0.2500 0.0507
Os 0.1142 0.7500 0.9493
Pm 0.6748 0.0659 0.3309
Pm 0.3252 0.5659 0.6691
Pm 0.1748 0.0659 0.1691
Pm 0.3252 0.9341 0.6691
Pm 0.1748 0.4341 0.1691
Pm 0.6748 0.4341 0.3309
Pm 0.8252 0.9341 0.8309
Pm 0.8252 0.5659 0.8309
Nd 0.5420 0.2500 0.8620
Nd 0.0420 0.2500 0.6380
Nd 0.9580 0.7500 0.3620
Nd 0.4580 0.7500 0.1380
! - Total DFT energy (no corrections): -104.0 eV/cell
! - Magnetic moment: 0.0 Bohr magnetons per cell
! - ΔE_f: -128 meV per atom



! Pr2NdTm3OsS2 PBE optimized geometry; values from VASP
&SYSTEM
  ibrav = 0, nat = 9, ntyp = 5
/
ATOMIC_SPECIES
Pr 140.91 Pr.upf
Os 190.23 Os.upf
Nd 144.24 Nd.upf
Tm 168.93 Tm.upf
S 32.06 S.upf
CELL_PARAMETERS angstrom
-2.4560 -3.1679 -0.0562
-0.6261 0.3447 7.9331
-5.1020 4.0370 -4.5954
ATOMIC_POSITIONS crystal
Pr 0.0000 0.5835 0.9999
Pr 0.0000 0.9999 0.5835
Os 0.0000 0.0049 0.0049
Nd 0.0000 0.4129 0.4129
Tm 0.5000 0.7588 0.7588
Tm 0.5000 0.9987 0.2425
Tm 0.5000 0.2425 0.9987
S 0.5000 0.3339 0.6649
S 0.5000 0.6649 0.3339
! - Total DFT energy (no corrections): -54.8 eV/cell
! - Magnetic moment: 0.1 Bohr magnetons per cell



! PrNdSi4Os2 PBE optimized geometry; values from VASP
&SYSTEM
  ibrav = 0, nat = 8, ntyp = 4
/
ATOMIC_SPECIES
Si 28.09 Si.upf
Pr 140.91 Pr.upf
Os 190.23 Os.upf
Nd 144.24 Nd.upf
CELL_PARAMETERS angstrom
4.4956 0.0000 0.0000
0.0000 4.1622 0.0000
-1.7221 0.0000 8.0846
ATOMIC_POSITIONS crystal
Si 0.9608 0.5000 0.4078
Si 0.3329 0.5000 0.0040
Si 0.6671 0.0000 0.9950
Si 0.0392 0.0000 0.5929
Pr 0.4095 0.0000 0.2988
Os 0.8807 0.5000 0.1126
Os 0.1187 0.0000 0.8866
Nd 0.5911 0.5000 0.7022
! - Total DFT energy (no corrections): -59.5 eV/cell
! - Magnetic moment: 0.0 Bohr magnetons per cell